{"formula": "PuMg2TlO6", "functional": "PBE", "state": "relaxed", "space_group": "P2_1/c", "density_g_cm3": 6.7, "e_form_raw_ev_per_atom": -2.18, "magmom_total_mub_per_fu": 0.99, "lattice_angstrom": [[6.169, 0.000, 0.000], [0.000, 5.721, 0.000], [-5.664, 0.000, 8.328]], "species": ["Pu", "Pu", "Mg", "Mg", "Mg", "Mg", "Tl", "Tl", "O", "O", "O", "O", "O", "O", "O", "O", "O", "O", "O", "O"], "frac_coords": [[0.000, 0.000, 0.000], [0.000, 0.500, 0.500], [0.377, 0.004, 0.798], [0.377, 0.496, 0.298], [0.623, 0.504, 0.702], [0.623, 0.996, 0.202], [0.500, 0.000, 0.500], [0.500, 0.500, 0.000], [0.096, 0.223, 0.627], [0.096, 0.277, 0.127], [0.269, 0.079, 0.952], [0.269, 0.421, 0.452], [0.329, 0.684, 0.700], [0.329, 0.816, 0.200], [0.671, 0.184, 0.800], [0.671, 0.316, 0.300], [0.731, 0.579, 0.548], [0.731, 0.921, 0.048], [0.904, 0.723, 0.873], [0.904, 0.777, 0.373]]}